[1]
First-principles (PBE-GGA) data for a geometry-optimized HfTePt3 structure, as listed in Alexandria.

Cell: 4.889 4.889 4.889 Å, 90.00 90.00 90.00°
Fractional positions:
Pt (0.500, 0.000, 0.000)
Te (0.000, 0.000, 0.000)
Hf (0.500, 0.500, 0.500)
Pt (0.000, 0.500, 0.000)
Pt (0.000, 0.000, 0.500)

Values from the calculation:
Calculated total energy in eV/f.u.: -28.025
Formation energy from raw total energies in meV/atom: 638.4
Offset from the most stable computed form in meV/atom: 28


[2]
First-principles (PBE-GGA) data for a geometry-optimized HfTe4Pt structure, as listed in Alexandria.

Cell: 4.020 6.947 6.725 Å, 89.40 90.00 90.00°
Fractional positions:
Te (0.000, 0.229, 0.354)
Hf (0.000, 0.000, 0.000)
Te (0.000, 0.771, 0.646)
Te (0.500, 0.752, 0.178)
Pt (0.500, 0.000, 0.500)
Te (0.500, 0.248, 0.822)

Values from the calculation:
Calculated total energy in eV/f.u.: -31.578
Formation energy from raw total energies in meV/atom: -502.8


[3]
First-principles (PBE-GGA) data for a geometry-optimized Hf3TePt structure, as listed in Alexandria.

Cell: 5.081 5.081 5.081 Å, 90.00 90.00 90.00°
Fractional positions:
Hf (0.000, 0.000, 0.500)
Pt (0.000, 0.000, 0.000)
Hf (0.500, 0.000, 0.000)
Te (0.500, 0.500, 0.500)
Hf (0.000, 0.500, 0.000)

Values from the calculation:
Calculated total energy in eV/f.u.: -38.892
Formation energy from raw total energies in meV/atom: 30.2
Offset from the most stable computed form in meV/atom: 0


[4]
First-principles (PBE-GGA) data for a geometry-optimized HfTePt3 structure, as listed in Alexandria.

Cell: 4.955 4.955 4.955 Å, 90.00 90.00 90.00°
Fractional positions:
Pt (0.000, 0.000, 0.500)
Pt (0.000, 0.500, 0.000)
Pt (0.500, 0.000, 0.000)
Te (0.500, 0.500, 0.500)
Hf (0.000, 0.000, 0.000)

Values from the calculation:
Calculated total energy in eV/f.u.: -28.167
Formation energy from raw total energies in meV/atom: 610.2
Offset from the most stable computed form in meV/atom: 0


[5]
First-principles (PBE-GGA) data for a geometry-optimized Hf2TePt2 structure, as listed in Alexandria.

Cell: 7.561 7.561 3.530 Å, 90.00 90.00 90.00°
Fractional positions:
Te (0.500, 0.500, 0.000)
Pt (0.630, 0.130, 0.000)
Hf (0.340, 0.160, 0.500)
Pt (0.370, 0.870, 0.000)
Pt (0.130, 0.370, 0.000)
Hf (0.840, 0.340, 0.500)
Hf (0.160, 0.660, 0.500)
Hf (0.660, 0.840, 0.500)
Te (0.000, 0.000, 0.000)
Pt (0.870, 0.630, 0.000)

Values from the calculation:
Calculated total energy in eV/f.u.: -39.168
Formation energy from raw total energies in meV/atom: -807.5
Offset from the most stable computed form in meV/atom: 0


[6]
First-principles (PBE-GGA) data for a geometry-optimized HfTe3Pt structure, as listed in Alexandria.

Cell: 5.450 5.450 5.450 Å, 90.00 90.00 90.00°
Fractional positions:
Te (0.500, 0.000, 0.000)
Hf (0.000, 0.000, 0.000)
Te (0.000, 0.500, 0.000)
Pt (0.500, 0.500, 0.500)
Te (0.000, 0.000, 0.500)

Values from the calculation:
Calculated total energy in eV/f.u.: -22.639
Formation energy from raw total energies in meV/atom: 556.0
Offset from the most stable computed form in meV/atom: 121


Q: Look up the calculated total energy of the fourth one.
A: -28.167 eV/f.u.


Q: The highest calculated total energy belongs to which entry?
A: HfTe3Pt


Q: Which of these has the lowest formation energy from raw total energies?
A: Hf2TePt2


Q: The highest formation energy from raw total energies belongs to which entry?
A: number 1